# 1
{
  "formula": "HRhF4",
  "functional": "PBE-GGA",
  "state": "relaxed",
  "lattice_angstrom": [[4.831, 0.000, 0.000], [0.000, 4.831, 0.000], [0.000, 0.000, 5.120]],
  "species": ["H", "H", "Rh", "Rh", "F", "F", "F", "F", "F", "F", "F", "F"],
  "frac_coords": [[0.000, 0.000, 0.000], [0.500, 0.500, 0.500], [0.000, 0.500, 0.750], [0.500, 0.000, 0.250], [0.208, 0.250, 0.053], [0.250, 0.708, 0.447], [0.250, 0.792, 0.947], [0.292, 0.250, 0.553], [0.708, 0.750, 0.553], [0.750, 0.208, 0.947], [0.750, 0.292, 0.447], [0.792, 0.750, 0.053]],
  "spacegroup": "I-4, No. 82",
  "energy_ev_per_atom": -3.9145,
  "total_magnetization_mub_per_fu": 0.2
}

***

# 2
{
  "formula": "SrH2O3",
  "functional": "PBE-GGA",
  "state": "relaxed",
  "lattice_angstrom": [[3.741, 0.000, 0.000], [0.000, 5.370, 0.000], [0.000, 0.000, 7.036]],
  "species": ["Sr", "Sr", "H", "H", "H", "H", "O", "O", "O", "O", "O", "O"],
  "frac_coords": [[0.000, 0.043, 0.000], [0.000, 0.957, 0.500], [0.211, 0.478, 0.693], [0.211, 0.522, 0.193], [0.789, 0.478, 0.693], [0.789, 0.522, 0.193], [0.000, 0.362, 0.714], [0.000, 0.638, 0.214], [0.500, 0.087, 0.256], [0.500, 0.312, 0.127], [0.500, 0.688, 0.627], [0.500, 0.913, 0.756]],
  "spacegroup": "Pmc2_1, No. 26",
  "energy_ev_per_atom": -5.3380,
  "total_magnetization_mub_per_fu": 0.0
}

***

# 3
{
  "formula": "Ac4AgAuN",
  "functional": "PBE-GGA",
  "state": "relaxed",
  "lattice_angstrom": [[7.399, 0.000, 0.000], [0.000, 7.723, 0.000], [-2.557, 0.000, 8.334]],
  "species": ["Ac", "Ac", "Ac", "Ac", "Ac", "Ac", "Ac", "Ac", "Ag", "Ag", "Au", "Au", "N", "N"],
  "frac_coords": [[0.012, 0.010, 0.261], [0.012, 0.490, 0.261], [0.428, 0.250, 0.587], [0.436, 0.250, 0.131], [0.564, 0.750, 0.869], [0.572, 0.750, 0.413], [0.988, 0.510, 0.739], [0.988, 0.990, 0.739], [0.233, 0.750, 0.061], [0.767, 0.250, 0.939], [0.214, 0.750, 0.549], [0.786, 0.250, 0.451], [0.240, 0.250, 0.307], [0.760, 0.750, 0.693]],
  "spacegroup": "P2_1/m, No. 11",
  "formation_energy_uncorrected_mev_per_atom": -617,
  "total_magnetization_mub_per_fu": 0.0
}

***

Which formula does entry 1 have?
HRhF4